PuBi2AuO8: optimized geometry, PBE.

Structure (POSCAR):
```
PuBi2AuO8
1.0
4.865 -0.230 0.050
-0.200 5.139 -0.217
0.035 -0.286 7.432
Bi O Pu Au
2 8 1 1
direct
0.434 0.527 0.262
0.566 0.473 0.738
0.130 0.722 0.853
0.177 0.868 0.265
0.823 0.132 0.735
0.335 0.226 0.958
0.290 0.310 0.517
0.870 0.278 0.147
0.665 0.774 0.042
0.710 0.690 0.483
0.000 0.000 0.000
0.000 0.000 0.500
```

Calculated values
For the formation energy without anion corrections, the calculation gives -1.383 eV/atom. The calculation puts the raw total energy at -6.80 eV/atom.



PuBiAuO6: optimized geometry, PBE.

Structure (POSCAR):
```
PuBiAuO6
1.0
-1.555 -5.129 1.466
2.908 0.794 -4.668
8.652 -1.139 5.195
Bi O Pu Au
2 12 2 2
direct
0.000 0.000 0.000
0.000 0.000 0.500
0.672 0.639 0.134
0.361 0.033 0.134
0.967 0.639 0.366
0.672 0.033 0.366
0.328 0.361 0.866
0.328 0.967 0.634
0.033 0.672 0.866
0.639 0.967 0.866
0.639 0.672 0.634
0.361 0.328 0.366
0.967 0.328 0.134
0.033 0.361 0.634
0.333 0.667 0.750
0.667 0.333 0.250
0.333 0.667 0.250
0.667 0.333 0.750
```

Calculated values
For the formation energy without anion corrections, the calculation gives -1.343 eV/atom. The calculation puts the raw total energy at -7.04 eV/atom.



Please write out number 1 again, unchanged.
PuBi2AuO8: optimized geometry, PBE.

Structure (POSCAR):
```
PuBi2AuO8
1.0
4.865 -0.230 0.050
-0.200 5.139 -0.217
0.035 -0.286 7.432
Bi O Pu Au
2 8 1 1
direct
0.434 0.527 0.262
0.566 0.473 0.738
0.130 0.722 0.853
0.177 0.868 0.265
0.823 0.132 0.735
0.335 0.226 0.958
0.290 0.310 0.517
0.870 0.278 0.147
0.665 0.774 0.042
0.710 0.690 0.483
0.000 0.000 0.000
0.000 0.000 0.500
```

Calculated values
For the formation energy without anion corrections, the calculation gives -1.383 eV/atom. The calculation puts the raw total energy at -6.80 eV/atom.